[1]
! GePtN | Alexandria | PBE-GGA | relaxed; values from VASP
! * energy relative to the elements, uncorrected: 0.4768 eV/atom
! * DFT total energy: -5.851 eV/atom
&SYSTEM
  ibrav = 0, nat = 12, ntyp = 3
/
ATOMIC_SPECIES
Ge 72.64 Ge.upf
Pt 195.08 Pt.upf
N 14.01 N.upf
ATOMIC_POSITIONS crystal
Ge 0.076 0.000 0.084
Ge 0.424 0.500 0.916
Ge 0.576 0.500 0.084
Ge 0.924 0.000 0.916
Pt 0.202 0.500 0.704
Pt 0.298 0.000 0.296
Pt 0.702 0.000 0.704
Pt 0.798 0.500 0.296
N 0.134 0.500 0.138
N 0.366 0.000 0.862
N 0.634 0.000 0.138
N 0.866 0.500 0.862
CELL_PARAMETERS angstrom
21.633 0.000 0.000
0.000 3.070 0.000
-0.353 0.000 2.798


[2]
! MgCo2Cl | Alexandria | PBE-GGA | relaxed; values from VASP
! * energy relative to the elements, uncorrected: 0.2129 eV/atom
! * DFT total energy: -4.200 eV/atom
! * energy above the lowest structure with this stoichiometry: 284 meV/atom
&SYSTEM
  ibrav = 0, nat = 4, ntyp = 3
/
ATOMIC_SPECIES
Mg 24.30 Mg.upf
Co 58.93 Co.upf
Cl 35.45 Cl.upf
ATOMIC_POSITIONS crystal
Mg 0.000 0.000 0.000
Co 0.278 0.500 0.213
Co 0.722 0.500 0.787
Cl 0.500 0.000 0.500
CELL_PARAMETERS angstrom
3.087 0.000 0.000
0.000 4.961 0.000
-0.187 0.000 4.075


[3]
! Na2HgGe | Alexandria | PBE-GGA | relaxed; values from VASP
! * DFT total energy: -1.838 eV/atom
&SYSTEM
  ibrav = 0, nat = 12, ntyp = 3
/
ATOMIC_SPECIES
Na 22.99 Na.upf
Hg 200.59 Hg.upf
Ge 72.64 Ge.upf
ATOMIC_POSITIONS crystal
Na 0.000 0.000 0.094
Na 0.000 0.000 0.906
Na 0.333 0.667 0.573
Na 0.333 0.667 0.761
Na 0.667 0.333 0.239
Na 0.667 0.333 0.427
Hg 0.000 0.000 0.000
Hg 0.333 0.667 0.667
Hg 0.667 0.333 0.333
Ge 0.000 0.000 0.500
Ge 0.333 0.667 0.167
Ge 0.667 0.333 0.833
CELL_PARAMETERS angstrom
3.338 0.000 0.000
-1.669 2.891 0.000
0.000 0.000 32.811


[4]
! Nb2ReAsBr | Alexandria | PBE-GGA | relaxed; values from VASP
! * energy relative to the elements, uncorrected: 0.9485 eV/atom
! * DFT total energy: -6.833 eV/atom
&SYSTEM
  ibrav = 0, nat = 5, ntyp = 4
/
ATOMIC_SPECIES
Nb 92.91 Nb.upf
Re 186.21 Re.upf
As 74.92 As.upf
Br 79.90 Br.upf
ATOMIC_POSITIONS crystal
Nb 0.000 0.500 0.000
Nb 0.500 0.000 0.000
Re 0.000 0.000 0.000
As 0.000 0.000 0.500
Br 0.500 0.500 0.500
CELL_PARAMETERS angstrom
5.051 0.000 0.000
0.000 5.051 0.000
0.000 0.000 4.665


[5]
! HoZnFeGe2 | Alexandria | PBE-GGA | relaxed; values from VASP
! * DFT total energy: -5.072 eV/atom
&SYSTEM
  ibrav = 0, nat = 10, ntyp = 4
/
ATOMIC_SPECIES
Ho 164.93 Ho.upf
Zn 65.41 Zn.upf
Fe 55.84 Fe.upf
Ge 72.64 Ge.upf
ATOMIC_POSITIONS crystal
Ho 0.250 0.000 0.225
Ho 0.750 0.000 0.775
Zn 0.250 0.500 0.374
Zn 0.750 0.500 0.626
Fe 0.000 0.500 0.000
Fe 0.500 0.500 0.000
Ge 0.250 0.237 0.746
Ge 0.250 0.763 0.746
Ge 0.750 0.237 0.254
Ge 0.750 0.763 0.254
CELL_PARAMETERS angstrom
5.425 0.000 0.000
0.000 5.555 0.000
0.000 0.000 5.722


[6]
! PrDy2MnN4 | Alexandria | PBE-GGA | relaxed; values from VASP
! * energy relative to the elements, uncorrected: -1.1799 eV/atom
! * DFT total energy: -8.237 eV/atom
&SYSTEM
  ibrav = 0, nat = 16, ntyp = 4
/
ATOMIC_SPECIES
Pr 140.91 Pr.upf
Dy 162.50 Dy.upf
Mn 54.94 Mn.upf
N 14.01 N.upf
ATOMIC_POSITIONS crystal
Pr 0.095 0.905 0.750
Pr 0.905 0.095 0.250
Dy 0.369 0.631 0.545
Dy 0.369 0.631 0.955
Dy 0.631 0.369 0.045
Dy 0.631 0.369 0.455
Mn 0.168 0.832 0.250
Mn 0.832 0.168 0.750
N 0.000 0.000 0.000
N 0.000 0.000 0.500
N 0.265 0.735 0.128
N 0.265 0.735 0.372
N 0.416 0.584 0.750
N 0.584 0.416 0.250
N 0.735 0.265 0.628
N 0.735 0.265 0.872
CELL_PARAMETERS angstrom
1.711 -5.769 0.000
1.711 5.769 0.000
0.000 0.000 11.560